The following is a PBE-GGA calculation of a relaxed YErInOs crystal, from Alexandria via LeMat-Bulk.

abc: 3.443 3.443 7.826
angles: 90.00 90.00 90.00
Space group P4mm (No. 99)
One atom of each set of equivalent atoms:
Y: 0.000 0.000 0.000 x1
Er: 0.000 0.000 0.580 x1
In: 0.500 0.500 0.293 x1
Os: 0.500 0.500 0.784 x1

Summary:
- density of states at the Fermi level (states/eV/atom) = 0.714
- DFT formation energy (meV per atom) = -374
- crystal system = tetragonal
- calculated density (Mg/m³) = 10.05
- energy relative to the lowest polymorph listed for this composition (meV/atom) = 0